(1)
# PBE Ba2ReIrN, optimized geometry
data_Ba2ReIrN
_space_group_name_H-M_alt 'P 4/m m m'
_space_group_IT_number 123
_space_group_name_Hall '-P 4 2'
_cell_length_a 6.070
_cell_length_b 6.070
_cell_length_c 3.786
_cell_angle_alpha 90.00
_cell_angle_beta 90.00
_cell_angle_gamma 90.00
loop_
_atom_site_label
_atom_site_fract_x
_atom_site_fract_y
_atom_site_fract_z
_atom_site_occupancy
Ba1 0.000 0.500 0.000 1
Re1 0.000 0.000 0.000 1
Ir1 0.500 0.500 0.500 1
N1 0.000 0.000 0.500 1
# Uncorrected formation energy (eV/atom): 0.652

=====

(2)
Here is Sc2FeRh5 after structural relaxation from the Alexandria database. Energies are from PBE.

Structure (CIF):
```
data_Sc2FeRh5
_space_group_name_H-M_alt 'P b a m'
_space_group_IT_number 55
_cell_length_a 5.479
_cell_length_b 10.747
_cell_length_c 4.100
_cell_angle_alpha 90.00
_cell_angle_beta 90.00
_cell_angle_gamma 90.00
loop_
_space_group_symop_operation_xyz
'x,y,z'
'-x,-y,-z'
'-x,-y,z'
'x,y,-z'
'x+1/2,-y+1/2,-z'
'-x+1/2,y+1/2,z'
'-x+1/2,y+1/2,-z'
'x+1/2,-y+1/2,z'
loop_
_atom_site_label
_atom_site_fract_x
_atom_site_fract_y
_atom_site_fract_z
_atom_site_occupancy
Sc1 0.178 0.139 0.000 1
Fe1 0.000 0.500 0.500 1
Rh1 0.000 0.000 0.500 1
Rh2 0.070 0.742 0.500 1
Rh3 0.185 0.393 0.000 1
```

=====

(3)
# PBE Y6As5Se, optimized geometry
data_Y6As5Se
_space_group_name_H-M_alt 'C 1 2/m 1'
_space_group_IT_number 12
_cell_length_a 7.134
_cell_length_b 12.347
_cell_length_c 7.136
_cell_angle_alpha 90.00
_cell_angle_beta 109.45
_cell_angle_gamma 90.00
loop_
_space_group_symop_operation_xyz
'x,y,z'
'-x,-y,-z'
'-x,y,-z'
'x,-y,z'
'x+1/2,y+1/2,z'
'-x+1/2,-y+1/2,-z'
'-x+1/2,y+1/2,-z'
'x+1/2,-y+1/2,z'
loop_
_atom_site_label
_atom_site_fract_x
_atom_site_fract_y
_atom_site_fract_z
_atom_site_occupancy
Y1 0.245 0.000 0.253 1
Y2 0.246 0.169 0.747 1
As1 0.000 0.000 0.500 1
As2 0.000 0.167 0.000 1
As3 0.000 0.335 0.500 1
Se1 0.000 0.500 0.000 1
# Uncorrected formation energy (eV/atom): -1.641

=====

(4)
# PBE KIn2Te, optimized geometry
data_KIn2Te
_space_group_name_H-M_alt 'C m m m'
_space_group_IT_number 65
_space_group_name_Hall '-C 2 2'
_cell_length_a 5.791
_cell_length_b 5.817
_cell_length_c 7.992
_cell_angle_alpha 90.00
_cell_angle_beta 90.00
_cell_angle_gamma 90.00
loop_
_atom_site_label
_atom_site_fract_x
_atom_site_fract_y
_atom_site_fract_z
_atom_site_occupancy
K1 0.000 0.000 0.000 1
In1 0.000 0.500 0.303 1
Te1 0.000 0.000 0.500 1
# Uncorrected formation energy (eV/atom): -0.237

=====

(5)
Here is ErTlPd2 after structural relaxation from the Alexandria database. Energies are from PBE.

Structure (CIF):
```
data_ErTlPd2
_space_group_name_H-M_alt 'F m -3 m'
_space_group_IT_number 225
_space_group_name_Hall '-F 4 2 3'
_cell_length_a 6.812
_cell_length_b 6.812
_cell_length_c 6.812
_cell_angle_alpha 90.00
_cell_angle_beta 90.00
_cell_angle_gamma 90.00
loop_
_atom_site_label
_atom_site_fract_x
_atom_site_fract_y
_atom_site_fract_z
_atom_site_occupancy
Er1 0.000 0.000 0.000 1
Tl1 0.000 0.000 0.500 1
Pd1 0.250 0.250 0.250 1
```

=====

(6)
# PBE KTcTe2Ir, optimized geometry
data_KTcTe2Ir
_space_group_name_H-M_alt 'P 4/m m m'
_space_group_IT_number 123
_space_group_name_Hall '-P 4 2'
_cell_length_a 5.098
_cell_length_b 5.098
_cell_length_c 5.194
_cell_angle_alpha 90.00
_cell_angle_beta 90.00
_cell_angle_gamma 90.00
loop_
_atom_site_label
_atom_site_fract_x
_atom_site_fract_y
_atom_site_fract_z
_atom_site_occupancy
K1 0.000 0.000 0.000 1
Tc1 0.000 0.000 0.500 1
Te1 0.000 0.500 0.500 1
Ir1 0.500 0.500 0.000 1
# Uncorrected formation energy (eV/atom): 1.289

=====

Results for total magnetic moment: 0.0, 3.5, 0.0, 0.0, 0.0, 0.0 (in μB per formula unit, following the order of the records).
Results for Fermi-level density of states: 3.92, 14.26, 5.05, 3.02, 9.46, 6.62 (in states/eV per cell, following the order of the records).
Results for E_tot: -6.044, -7.803, -7.101, -2.666, -4.990, -4.033 (in eV per atom, following the order of the records).